A plane-wave DFT calculation with PBE-GGA was carried out for an optimized crystal structure of Li2ZrGeSe4.

Structure (extended XYZ):
```
8
Lattice="-3.603 -0.286 -1.495 -0.525 -6.228 2.459 -2.660 0.315 6.348" Properties=species:S:1:pos:R:3 pbc="T T T"
Li -2.660 0.315 6.348
Se -3.913 -1.514 4.604
Se -2.874 -4.686 2.707
Se -2.365 -4.402 6.542
Ge -4.724 -2.943 6.829
Se -4.422 -1.798 0.769
Zr -1.592 -2.957 4.403
Li -3.131 0.014 2.426
```

crystal system	monoclinic
raw total energy	-39.20	eV/cell
ΔE_f (raw)	-1.0330	eV per atom

A plane-wave DFT calculation with PBE-GGA was carried out for an optimized crystal structure of CuRuW4.

Structure (extended XYZ):
```
6
Lattice="-3.781 2.946 2.010 -1.849 4.046 -2.688 -4.788 -0.187 -2.013" Properties=species:S:1:pos:R:3 pbc="T T T"
W -4.626 2.786 -2.675
W -6.500 4.246 -1.679
Ru 0.000 0.000 0.000
W -5.584 2.240 -0.347
W -4.127 4.338 -0.681
Cu -2.605 1.701 -0.673
```

crystal system	cubic
raw total energy	-61.45	eV/cell
E_form	0.622	eV/atom

A plane-wave DFT calculation with PBE-GGA was carried out for an optimized crystal structure of BaOs2Rh.

Structure (extended XYZ):
```
4
Lattice="5.441 2.738 0.010 -5.441 2.738 0.010 0.000 1.342 2.559" Properties=species:S:1:pos:R:3 pbc="T T T"
Os -2.721 1.369 0.005
Ba 0.000 3.409 1.290
Os 2.721 1.369 0.005
Rh 0.000 0.671 1.280
```

crystal system	monoclinic
raw total energy	-26.86	eV/cell
E_form	1.218	eV/atom

A plane-wave DFT calculation with PBE-GGA was carried out for an optimized crystal structure of Li2IrRh.

Structure (extended XYZ):
```
4
Lattice="1.821 -2.225 2.943 -1.756 -3.473 1.337 1.682 -3.642 -0.918" Properties=species:S:1:pos:R:3 pbc="T T T"
Ir 0.873 -4.670 1.681
Li 1.310 -7.005 2.522
Rh 0.000 0.000 0.000
Li 0.437 -2.335 0.841
```

crystal system	cubic
raw total energy	-19.61	eV/cell
E_form	0.107	eV/atom

A plane-wave DFT calculation with PBE-GGA was carried out for an optimized crystal structure of Ti2ZnBi.

Structure (extended XYZ):
```
4
Lattice="4.241 0.000 0.000 0.000 4.179 0.000 0.000 0.000 4.179" Properties=species:S:1:pos:R:3 pbc="T T T"
Bi 2.120 0.000 0.000
Zn 2.120 2.089 2.089
Ti 0.000 0.000 2.089
Ti 0.000 2.089 0.000
```

crystal system	tetragonal
raw total energy	-21.13	eV/cell
E_form	-0.046	eV/atom

A plane-wave DFT calculation with PBE-GGA was carried out for an optimized crystal structure of Fe2H2Rh.

Structure (extended XYZ):
```
5
Lattice="-2.683 -0.231 0.233 0.043 -2.968 -2.452 1.814 -0.982 4.244" Properties=species:S:1:pos:R:3 pbc="T T T"
Fe 0.331 -1.727 2.097
H 0.347 -3.185 0.840
Fe -1.156 -2.454 -0.072
Rh 0.000 0.000 0.000
H -1.173 -0.996 1.186
```

crystal system	orthorhombic
raw total energy	-30.99	eV/cell

A plane-wave DFT calculation with PBE-GGA was carried out for an optimized crystal structure of CsCd3Rh.

Structure (extended XYZ):
```
5
Lattice="-0.497 -3.999 -0.383 2.299 0.033 -3.331 7.545 -1.435 5.194" Properties=species:S:1:pos:R:3 pbc="T T T"
Cd 4.408 -0.603 0.577
Cd 3.009 -2.619 2.051
Cs 0.451 -0.086 0.310
Rh 5.819 -2.918 1.529
Cd 5.196 -0.988 3.577
```

crystal system	tetragonal
raw total energy	-10.43	eV/cell
E_form	0.104	eV/atom

A plane-wave DFT calculation with PBE-GGA was carried out for an optimized crystal structure of BSe2BrF.

Structure (extended XYZ):
```
5
Lattice="-3.244 2.853 0.864 -2.974 -3.012 -1.220 -0.209 -1.556 4.354" Properties=species:S:1:pos:R:3 pbc="T T T"
F -3.214 -0.858 1.999
Br -0.105 -0.778 2.177
B 0.000 0.000 0.000
Se -1.487 -1.506 -0.610
Se -1.622 1.427 0.432
```

crystal system	tetragonal
raw total energy	-14.46	eV/cell
ΔE_f (raw)	0.5463	eV per atom

A plane-wave DFT calculation with PBE-GGA was carried out for an optimized crystal structure of TiCrAgS4.

Structure (extended XYZ):
```
28
Lattice="6.137 0.000 0.000 0.000 7.133 0.000 0.000 0.000 11.881" Properties=species:S:1:pos:R:3 pbc="T T T"
S 4.441 1.783 1.052
S 4.204 5.349 0.998
Ti 0.242 5.349 8.943
Cr 0.000 3.566 5.940
Cr 3.068 3.566 0.000
Ti 2.826 5.349 3.003
S 1.135 1.783 4.943
S 1.933 1.783 10.883
Ag 5.689 1.783 10.686
Cr 0.000 0.000 5.940
S 4.812 3.704 3.879
Ti 5.894 1.783 2.938
Ag 2.620 5.349 7.135
S 4.764 1.783 6.992
S 5.001 5.349 6.938
S 4.393 6.994 9.819
Ag 3.516 1.783 4.746
S 1.696 5.349 10.829
S 1.372 5.349 4.889
S 1.325 3.428 8.002
Ti 3.311 1.783 8.878
Cr 3.068 0.000 0.000
S 1.744 3.428 2.062
S 1.325 0.138 8.002
S 4.812 6.994 3.879
S 4.393 3.704 9.819
Ag 0.448 5.349 1.195
S 1.744 0.138 2.062
```

crystal system	orthorhombic
raw total energy	-167.86	eV/cell
ΔE_f (raw)	-0.7265	eV per atom

A plane-wave DFT calculation with PBE-GGA was carried out for an optimized crystal structure of La4YTl2.

Structure (extended XYZ):
```
7
Lattice="0.535 4.375 -4.647 -3.500 -5.161 -1.461 -4.801 3.011 2.932" Properties=species:S:1:pos:R:3 pbc="T T T"
Tl -2.959 0.353 -2.692
La -2.672 3.974 -2.543
La 0.268 2.188 -2.323
La -5.094 -1.748 -0.632
Y 0.000 0.000 0.000
La -1.750 -2.580 -0.730
Tl -4.807 1.873 -0.483
```

crystal system	monoclinic
raw total energy	-30.66	eV/cell
E_form	0.035	eV/atom

A plane-wave DFT calculation with PBE-GGA was carried out for an optimized crystal structure of Ti4In3.

Structure (extended XYZ):
```
7
Lattice="3.389 0.000 0.000 0.000 3.389 0.000 -1.694 -1.694 11.940" Properties=species:S:1:pos:R:3 pbc="T T T"
Ti 1.694 1.694 1.717
In 0.000 0.000 0.000
Ti 0.000 0.000 10.223
Ti 1.694 1.694 8.789
In 0.000 0.000 7.060
In 1.694 1.694 4.880
Ti 0.000 0.000 3.151
```

crystal system	tetragonal
raw total energy	-40.05	eV/cell
E_form	-0.037	eV/atom

A plane-wave DFT calculation with PBE-GGA was carried out for an optimized crystal structure of GdScPd.

Structure (extended XYZ):
```
3
Lattice="-0.536 -3.227 -1.909 0.721 -2.417 3.884 -4.281 1.370 -1.114" Properties=species:S:1:pos:R:3 pbc="T T T"
Pd -2.743 -0.672 0.092
Gd -1.289 -3.221 0.996
Sc -0.063 -0.382 -0.226
```

crystal system	trigonal
raw total energy	-26.81	eV/cell
E_form	-0.402	eV/atom

Computed V, in the same sequence as the records: 21.4, 16.5, 19.0, 12.3, 18.5, 8.5, 30.4, 18.0, 18.6, 33.4, 19.6, 23.4 Å³ per atom.
Computed theoretical density, in the same sequence as the records: 4.79, 15.05, 13.54, 10.42, 8.30, 8.45, 6.26, 4.95, 4.29, 7.48, 6.49, 7.29 g/cm³.